[1]
Computed, not measured: a relaxed structure of LuTlFeSe3 at the PBE-GGA level of DFT.

SG = C2/m, No. 12
energy above the most stable polymorph in this dataset = 159 meV per atom

Lattice parameters (Å, degrees): 8.7916 8.7916 8.8996 102.27 102.27 26.88
With the nearest neighbours (Å) after each atom.
Positions (direct):
1 Lu 0.1692 0.1692 0.0827  6 Se 2.77-2.83
2 Lu 0.8308 0.8308 0.9173  6 Se 2.77-2.83
3 Tl 0.1420 0.1420 0.5668  7 Se 3.13-3.39
4 Tl 0.8580 0.8580 0.4332  7 Se 3.13-3.39
5 Fe 0.4928 0.4928 0.7868  4 Se 2.51-2.77
6 Fe 0.5072 0.5072 0.2132  4 Se 2.51-2.77
7 Se 0.0000 0.0000 0.0000  4 Fe 2.77, 2 Lu 2.83
8 Se 0.3377 0.3377 0.1367  3 Lu 2.81-2.82, 1 Fe 2.83
9 Se 0.3424 0.3424 0.7124  1 Fe 2.51, 2 Lu 2.77
10 Se 0.5000 0.5000 0.5000  2 Fe 2.58
11 Se 0.6576 0.6576 0.2876  1 Fe 2.51, 2 Lu 2.77
12 Se 0.6623 0.6623 0.8633  3 Lu 2.81-2.82, 1 Fe 2.83


[2]
Computed, not measured: a relaxed structure of PrScPb at the PBE-GGA level of DFT.

SG = F-43m, No. 216
energy above the most stable polymorph in this dataset = 833 meV per atom

Lattice parameters (Å, degrees): 5.2443 5.2443 5.2443 60.00 60.00 60.00
With the nearest neighbours (Å) after each atom.
Positions (direct):
1 Pr 0.0000 0.0000 0.0000  4 Pb 3.21, 4 Sc 3.21
2 Sc 0.2500 0.2500 0.2500  4 Pr 3.21
3 Pb 0.7500 0.7500 0.7500  4 Pr 3.21


> Which of these has the highest energy above the most stable polymorph in this dataset?

PrScPb


Please write out number 2 again, unchanged.
Computed, not measured: a relaxed structure of PrScPb at the PBE-GGA level of DFT.

SG = F-43m, No. 216
energy above the most stable polymorph in this dataset = 833 meV per atom

Lattice parameters (Å, degrees): 5.2443 5.2443 5.2443 60.00 60.00 60.00
With the nearest neighbours (Å) after each atom.
Positions (direct):
1 Pr 0.0000 0.0000 0.0000  4 Pb 3.21, 4 Sc 3.21
2 Sc 0.2500 0.2500 0.2500  4 Pr 3.21
3 Pb 0.7500 0.7500 0.7500  4 Pr 3.21


> What is the energy above the most stable polymorph in this dataset in the first record?

159 meV per atom


Please write out number 2 again, unchanged.
Computed, not measured: a relaxed structure of PrScPb at the PBE-GGA level of DFT.

SG = F-43m, No. 216
energy above the most stable polymorph in this dataset = 833 meV per atom

Lattice parameters (Å, degrees): 5.2443 5.2443 5.2443 60.00 60.00 60.00
With the nearest neighbours (Å) after each atom.
Positions (direct):
1 Pr 0.0000 0.0000 0.0000  4 Pb 3.21, 4 Sc 3.21
2 Sc 0.2500 0.2500 0.2500  4 Pr 3.21
3 Pb 0.7500 0.7500 0.7500  4 Pr 3.21